Entry 1:
# PBE Sm7TlAg4, optimized geometry
data_Sm7TlAg4
_chemical_formula_sum 'Sm7 Tl1 Ag4'
_cell_length_a 7.8808
_cell_length_b 7.8808
_cell_length_c 9.3338
_cell_angle_alpha 118.46
_cell_angle_beta 118.46
_cell_angle_gamma 43.12
_symmetry_space_group_name_H-M 'P 1'
_symmetry_Int_Tables_number 1
loop_
_symmetry_equiv_pos_as_xyz
'x,y,z'
loop_
_atom_site_label
_atom_site_fract_x
_atom_site_fract_y
_atom_site_fract_z
Sm1 0.0000 0.0000 0.0000
Sm2 0.2240 0.2240 0.6864
Sm3 0.3180 0.3180 0.1175
Sm4 0.4240 0.4240 0.5930
Sm5 0.5760 0.5760 0.4070
Sm6 0.6820 0.6820 0.8825
Sm7 0.7760 0.7760 0.3136
Tl1 0.5000 0.5000 0.0000
Ag1 0.0228 0.0228 0.6831
Ag2 0.1895 0.1895 0.3405
Ag3 0.8105 0.8105 0.6595
Ag4 0.9772 0.9772 0.3169
# ρ = 8.24 g cm⁻³
# E_form = -0.07 eV/atom
# space-group type = C2/m

Entry 2:
# PBE Tb3CePa2N6, optimized geometry
data_Tb3CePa2N6
_chemical_formula_sum 'Tb3 Ce1 Pa2 N6'
_cell_length_a 6.0846
_cell_length_b 6.0846
_cell_length_c 6.0752
_cell_angle_alpha 99.60
_cell_angle_beta 99.60
_cell_angle_gamma 120.00
_symmetry_space_group_name_H-M 'P 1'
_symmetry_Int_Tables_number 1
loop_
_symmetry_equiv_pos_as_xyz
'x,y,z'
loop_
_atom_site_label
_atom_site_fract_x
_atom_site_fract_y
_atom_site_fract_z
Tb1 0.0000 0.0000 0.0000
Tb2 0.3346 0.6654 0.0000
Tb3 0.6654 0.3346 0.0000
Ce1 0.5000 0.5000 0.5000
Pa1 0.1669 0.8331 0.5000
Pa2 0.8331 0.1669 0.5000
N1 0.0736 0.4200 0.2607
N2 0.2333 0.2333 0.7389
N3 0.4200 0.0736 0.2607
N4 0.5800 0.9264 0.7393
N5 0.7667 0.7667 0.2611
N6 0.9264 0.5800 0.7393
# ρ = 10.52 g cm⁻³
# uncorrected formation energy = -1.645 eV/atom
# space-group type = C2/m